a | {"formula": "LaTe3PbAu", "functional": "GGA-PBE", "state": "optimized geometry", "lattice": [[8.4904, 0.0000, 0.0000], [0.0000, 4.4547, 0.0000], [-2.9134, 0.0000, 10.4991]], "species": ["La", "La", "Te", "Te", "Te", "Te", "Te", "Te", "Pb", "Pb", "Au", "Au"], "fractional_positions": [[0.2006, 0.2500, 0.1746], [0.7994, 0.7500, 0.8254], [0.0835, 0.2500, 0.8637], [0.2183, 0.2500, 0.4697], [0.4695, 0.7500, 0.1730], [0.5305, 0.2500, 0.8270], [0.7817, 0.7500, 0.5303], [0.9165, 0.7500, 0.1363], [0.2368, 0.7500, 0.7028], [0.7632, 0.2500, 0.2972], [0.3998, 0.7500, 0.4082], [0.6002, 0.2500, 0.5918]], "magmom_total_mub_per_fu": 0.0, "crystal_system": "monoclinic", "space_group": "P2_1/m (11)", "volume_a3_per_cell": 397.1}

b | {"formula": "LaTe3PbAu", "functional": "GGA-PBE", "state": "optimized geometry", "lattice": [[2.2036, -7.4932, 0.0000], [2.2036, 7.4932, 0.0000], [0.0000, 0.0000, 11.6395]], "species": ["La", "La", "Te", "Te", "Te", "Te", "Te", "Te", "Pb", "Pb", "Au", "Au"], "fractional_positions": [[0.0000, 0.0000, 0.0000], [0.0000, 0.0000, 0.5000], [0.0924, 0.9076, 0.7500], [0.3498, 0.6502, 0.5644], [0.3498, 0.6502, 0.9356], [0.6502, 0.3498, 0.0644], [0.6502, 0.3498, 0.4356], [0.9076, 0.0924, 0.2500], [0.2260, 0.7740, 0.2500], [0.7740, 0.2260, 0.7500], [0.4702, 0.5298, 0.7500], [0.5298, 0.4702, 0.2500]], "magmom_total_mub_per_fu": 0.0, "crystal_system": "orthorhombic", "space_group": "Cmcm (63)", "volume_a3_per_cell": 384.4}

Q: Which of them is the most stable? A: b.

a | {"formula": "RbYHf", "functional": "GGA-PBE", "state": "optimized geometry", "lattice": [[8.0908, 0.0000, 0.0000], [0.0000, 8.0908, 0.0000], [0.0000, 0.0000, 8.0908]], "species": ["Rb", "Rb", "Rb", "Rb", "Y", "Y", "Y", "Y", "Hf", "Hf", "Hf", "Hf"], "fractional_positions": [[0.0000, 0.0000, 0.0000], [0.0000, 0.5000, 0.5000], [0.5000, 0.0000, 0.5000], [0.5000, 0.5000, 0.0000], [0.0000, 0.0000, 0.5000], [0.0000, 0.5000, 0.0000], [0.5000, 0.0000, 0.0000], [0.5000, 0.5000, 0.5000], [0.2500, 0.2500, 0.2500], [0.2500, 0.7500, 0.7500], [0.7500, 0.2500, 0.7500], [0.7500, 0.7500, 0.2500]], "magmom_total_mub_per_fu": 4.6, "crystal_system": "cubic", "space_group": "F-43m (216)", "volume_a3_per_cell": 529.6}

b | {"formula": "RbYHf", "functional": "GGA-PBE", "state": "optimized geometry", "lattice": [[7.4745, 0.0000, 0.0000], [0.0000, 7.4745, 0.0000], [0.0000, 0.0000, 7.4745]], "species": ["Rb", "Rb", "Rb", "Rb", "Y", "Y", "Y", "Y", "Hf", "Hf", "Hf", "Hf"], "fractional_positions": [[0.0000, 0.0000, 0.0000], [0.0000, 0.5000, 0.5000], [0.5000, 0.0000, 0.5000], [0.5000, 0.5000, 0.0000], [0.2500, 0.2500, 0.2500], [0.2500, 0.7500, 0.7500], [0.7500, 0.2500, 0.7500], [0.7500, 0.7500, 0.2500], [0.2500, 0.2500, 0.7500], [0.2500, 0.7500, 0.2500], [0.7500, 0.2500, 0.2500], [0.7500, 0.7500, 0.7500]], "magmom_total_mub_per_fu": 0.0, "crystal_system": "cubic", "space_group": "F-43m (216)", "volume_a3_per_cell": 417.6}

Q: Which of them is the most stable? A: a.

a | {"formula": "YFeReSn", "functional": "GGA-PBE", "state": "optimized geometry", "lattice": [[6.7174, 0.0000, 0.0000], [0.0000, 6.7174, 0.0000], [0.0000, 0.0000, 6.7174]], "species": ["Y", "Y", "Y", "Y", "Fe", "Fe", "Fe", "Fe", "Re", "Re", "Re", "Re", "Sn", "Sn", "Sn", "Sn"], "fractional_positions": [[0.0000, 0.0000, 0.0000], [0.0000, 0.5000, 0.5000], [0.5000, 0.0000, 0.5000], [0.5000, 0.5000, 0.0000], [0.0000, 0.0000, 0.5000], [0.0000, 0.5000, 0.0000], [0.5000, 0.0000, 0.0000], [0.5000, 0.5000, 0.5000], [0.2500, 0.2500, 0.7500], [0.2500, 0.7500, 0.2500], [0.7500, 0.2500, 0.2500], [0.7500, 0.7500, 0.7500], [0.2500, 0.2500, 0.2500], [0.2500, 0.7500, 0.7500], [0.7500, 0.2500, 0.7500], [0.7500, 0.7500, 0.2500]], "magmom_total_mub_per_fu": 4.0, "crystal_system": "cubic", "space_group": "F-43m (216)", "volume_a3_per_cell": 303.1}

b | {"formula": "YFeReSn", "functional": "GGA-PBE", "state": "optimized geometry", "lattice": [[6.6277, 0.0000, 0.0000], [0.0000, 6.6277, 0.0000], [0.0000, 0.0000, 6.6277]], "species": ["Y", "Y", "Y", "Y", "Fe", "Fe", "Fe", "Fe", "Re", "Re", "Re", "Re", "Sn", "Sn", "Sn", "Sn"], "fractional_positions": [[0.0000, 0.0000, 0.0000], [0.0000, 0.5000, 0.5000], [0.5000, 0.0000, 0.5000], [0.5000, 0.5000, 0.0000], [0.2500, 0.2500, 0.7500], [0.2500, 0.7500, 0.2500], [0.7500, 0.2500, 0.2500], [0.7500, 0.7500, 0.7500], [0.2500, 0.2500, 0.2500], [0.2500, 0.7500, 0.7500], [0.7500, 0.2500, 0.7500], [0.7500, 0.7500, 0.2500], [0.0000, 0.0000, 0.5000], [0.0000, 0.5000, 0.0000], [0.5000, 0.0000, 0.0000], [0.5000, 0.5000, 0.5000]], "magmom_total_mub_per_fu": 2.3, "crystal_system": "cubic", "space_group": "F-43m (216)", "volume_a3_per_cell": 291.1}

Q: Which of them is the most stable? A: b.

a | {"formula": "CsZrFe", "functional": "GGA-PBE", "state": "optimized geometry", "lattice": [[6.7870, 0.0000, 0.0000], [0.0000, 6.7870, 0.0000], [0.0000, 0.0000, 6.7870]], "species": ["Cs", "Cs", "Cs", "Cs", "Zr", "Zr", "Zr", "Zr", "Fe", "Fe", "Fe", "Fe"], "fractional_positions": [[0.0000, 0.0000, 0.0000], [0.0000, 0.5000, 0.5000], [0.5000, 0.0000, 0.5000], [0.5000, 0.5000, 0.0000], [0.0000, 0.0000, 0.5000], [0.0000, 0.5000, 0.0000], [0.5000, 0.0000, 0.0000], [0.5000, 0.5000, 0.5000], [0.2500, 0.2500, 0.2500], [0.2500, 0.7500, 0.7500], [0.7500, 0.2500, 0.7500], [0.7500, 0.7500, 0.2500]], "magmom_total_mub_per_fu": 0.5, "crystal_system": "cubic", "space_group": "F-43m (216)", "volume_a3_per_cell": 312.6}

b | {"formula": "CsZrFe", "functional": "GGA-PBE", "state": "optimized geometry", "lattice": [[6.6790, 0.0000, 0.0000], [0.0000, 6.6790, 0.0000], [0.0000, 0.0000, 6.6790]], "species": ["Cs", "Cs", "Cs", "Cs", "Zr", "Zr", "Zr", "Zr", "Fe", "Fe", "Fe", "Fe"], "fractional_positions": [[0.0000, 0.0000, 0.0000], [0.0000, 0.5000, 0.5000], [0.5000, 0.0000, 0.5000], [0.5000, 0.5000, 0.0000], [0.2500, 0.2500, 0.2500], [0.2500, 0.7500, 0.7500], [0.7500, 0.2500, 0.7500], [0.7500, 0.7500, 0.2500], [0.2500, 0.2500, 0.7500], [0.2500, 0.7500, 0.2500], [0.7500, 0.2500, 0.2500], [0.7500, 0.7500, 0.7500]], "magmom_total_mub_per_fu": 2.0, "crystal_system": "cubic", "space_group": "F-43m (216)", "volume_a3_per_cell": 297.9}

Q: Which of them is the most stable? A: a.

a | {"formula": "AcAgAu", "functional": "GGA-PBE", "state": "optimized geometry", "lattice": [[7.0635, 0.0000, 0.0000], [0.0000, 7.0635, 0.0000], [0.0000, 0.0000, 7.0635]], "species": ["Ac", "Ac", "Ac", "Ac", "Ag", "Ag", "Ag", "Ag", "Au", "Au", "Au", "Au"], "fractional_positions": [[0.0000, 0.0000, 0.0000], [0.0000, 0.5000, 0.5000], [0.5000, 0.0000, 0.5000], [0.5000, 0.5000, 0.0000], [0.2500, 0.2500, 0.2500], [0.2500, 0.7500, 0.7500], [0.7500, 0.2500, 0.7500], [0.7500, 0.7500, 0.2500], [0.0000, 0.0000, 0.5000], [0.0000, 0.5000, 0.0000], [0.5000, 0.0000, 0.0000], [0.5000, 0.5000, 0.5000]], "magmom_total_mub_per_fu": 0.0, "crystal_system": "cubic", "space_group": "F-43m (216)", "volume_a3_per_cell": 352.4}

b | {"formula": "AcAgAu", "functional": "GGA-PBE", "state": "optimized geometry", "lattice": [[7.3406, 0.0000, 0.0000], [0.0000, 7.3406, 0.0000], [0.0000, 0.0000, 7.3406]], "species": ["Ac", "Ac", "Ac", "Ac", "Ag", "Ag", "Ag", "Ag", "Au", "Au", "Au", "Au"], "fractional_positions": [[0.0000, 0.0000, 0.0000], [0.0000, 0.5000, 0.5000], [0.5000, 0.0000, 0.5000], [0.5000, 0.5000, 0.0000], [0.2500, 0.2500, 0.7500], [0.2500, 0.7500, 0.2500], [0.7500, 0.2500, 0.2500], [0.7500, 0.7500, 0.7500], [0.2500, 0.2500, 0.2500], [0.2500, 0.7500, 0.7500], [0.7500, 0.2500, 0.7500], [0.7500, 0.7500, 0.2500]], "magmom_total_mub_per_fu": 0.0, "crystal_system": "cubic", "space_group": "F-43m (216)", "volume_a3_per_cell": 395.5}

Q: Which of them is the most stable? A: a.

a | {"formula": "GdAgSnS3", "functional": "GGA-PBE", "state": "optimized geometry", "lattice": [[10.5371, 0.0000, 0.0000], [0.0000, 4.0652, 0.0000], [0.0000, 0.0000, 13.0594]], "species": ["Gd", "Gd", "Gd", "Gd", "Ag", "Ag", "Ag", "Ag", "Sn", "Sn", "Sn", "Sn", "S", "S", "S", "S", "S", "S", "S", "S", "S", "S", "S", "S"], "fractional_positions": [[0.0215, 0.2500, 0.2346], [0.4785, 0.7500, 0.7346], [0.5215, 0.2500, 0.2654], [0.9785, 0.7500, 0.7654], [0.2335, 0.2500, 0.7186], [0.2665, 0.7500, 0.2186], [0.7335, 0.2500, 0.7814], [0.7665, 0.7500, 0.2814], [0.1974, 0.7500, 0.4889], [0.3026, 0.2500, 0.9889], [0.6974, 0.7500, 0.0111], [0.8026, 0.2500, 0.5111], [0.0333, 0.2500, 0.6126], [0.0776, 0.7500, 0.1060], [0.2383, 0.7500, 0.8423], [0.2617, 0.2500, 0.3423], [0.4224, 0.2500, 0.6060], [0.4667, 0.7500, 0.1126], [0.5333, 0.2500, 0.8874], [0.5776, 0.7500, 0.3940], [0.7383, 0.7500, 0.6577], [0.7617, 0.2500, 0.1577], [0.9224, 0.2500, 0.8940], [0.9667, 0.7500, 0.3874]], "magmom_total_mub_per_fu": 0.0, "crystal_system": "orthorhombic", "space_group": "Pnma (62)", "volume_a3_per_cell": 559.4}

b | {"formula": "GdAgSnS3", "functional": "GGA-PBE", "state": "optimized geometry", "lattice": [[11.9173, 0.0000, 0.0000], [0.0000, 3.9852, 0.0000], [0.0000, 0.0000, 12.4723]], "species": ["Gd", "Gd", "Gd", "Gd", "Ag", "Ag", "Ag", "Ag", "Sn", "Sn", "Sn", "Sn", "S", "S", "S", "S", "S", "S", "S", "S", "S", "S", "S", "S"], "fractional_positions": [[0.0128, 0.2500, 0.1526], [0.4872, 0.7500, 0.6526], [0.5128, 0.2500, 0.3474], [0.9872, 0.7500, 0.8474], [0.1991, 0.7500, 0.3902], [0.3009, 0.2500, 0.8902], [0.6991, 0.7500, 0.1098], [0.8009, 0.2500, 0.6098], [0.1713, 0.2500, 0.5819], [0.3287, 0.7500, 0.0819], [0.6713, 0.2500, 0.9181], [0.8287, 0.7500, 0.4181], [0.0143, 0.7500, 0.3089], [0.1061, 0.2500, 0.9494], [0.2479, 0.2500, 0.2014], [0.2521, 0.7500, 0.7014], [0.3939, 0.7500, 0.4494], [0.4857, 0.2500, 0.8089], [0.5143, 0.7500, 0.1911], [0.6061, 0.2500, 0.5506], [0.7479, 0.2500, 0.2986], [0.7521, 0.7500, 0.7986], [0.8939, 0.7500, 0.0506], [0.9857, 0.2500, 0.6911]], "magmom_total_mub_per_fu": 0.0, "crystal_system": "orthorhombic", "space_group": "Pnma (62)", "volume_a3_per_cell": 592.3}

Q: Which of them is the most stable? A: b.

a | {"formula": "LiZnNO", "functional": "GGA-PBE", "state": "optimized geometry", "lattice": [[3.0500, 0.0000, 0.0000], [0.0000, 5.7250, 0.0000], [0.0000, 0.0000, 5.1708]], "species": ["Li", "Li", "Zn", "Zn", "N", "N", "O", "O"], "fractional_positions": [[0.0000, 0.1464, 0.0000], [0.0000, 0.8536, 0.5000], [0.5000, 0.3260, 0.4840], [0.5000, 0.6740, 0.9840], [0.5000, 0.3609, 0.8544], [0.5000, 0.6391, 0.3544], [0.0000, 0.1573, 0.3642], [0.0000, 0.8427, 0.8642]], "crystal_system": "orthorhombic", "space_group": "Pmc2_1 (26)", "volume_a3_per_cell": 90.3}

b | {"formula": "LiZnNO", "functional": "GGA-PBE", "state": "optimized geometry", "lattice": [[5.8167, 0.0000, 0.0000], [0.0000, 7.1571, 0.0000], [0.0000, 0.0000, 3.7636]], "species": ["Li", "Li", "Li", "Li", "Zn", "Zn", "Zn", "Zn", "N", "N", "N", "N", "O", "O", "O", "O"], "fractional_positions": [[0.0250, 0.1161, 0.0000], [0.4750, 0.1161, 0.5000], [0.5250, 0.8839, 0.0000], [0.9750, 0.8839, 0.5000], [0.0207, 0.3583, 0.4992], [0.4793, 0.3583, 0.9992], [0.5207, 0.6417, 0.4992], [0.9793, 0.6417, 0.9992], [0.1896, 0.8701, 0.9967], [0.3104, 0.8701, 0.4967], [0.6896, 0.1299, 0.9967], [0.8104, 0.1299, 0.4967], [0.1055, 0.3729, 0.9992], [0.3945, 0.3729, 0.4992], [0.6055, 0.6271, 0.9992], [0.8945, 0.6271, 0.4992]], "crystal_system": "orthorhombic", "space_group": "Pca2_1 (29)", "volume_a3_per_cell": 156.7}

Q: Which of them is the most stable? A: b.

a | {"formula": "NaGeIrPb", "functional": "GGA-PBE", "state": "optimized geometry", "lattice": [[6.7049, 0.0000, 0.0000], [0.0000, 6.7049, 0.0000], [0.0000, 0.0000, 6.7049]], "species": ["Na", "Na", "Na", "Na", "Ge", "Ge", "Ge", "Ge", "Ir", "Ir", "Ir", "Ir", "Pb", "Pb", "Pb", "Pb"], "fractional_positions": [[0.0000, 0.0000, 0.0000], [0.0000, 0.5000, 0.5000], [0.5000, 0.0000, 0.5000], [0.5000, 0.5000, 0.0000], [0.2500, 0.2500, 0.7500], [0.2500, 0.7500, 0.2500], [0.7500, 0.2500, 0.2500], [0.7500, 0.7500, 0.7500], [0.0000, 0.0000, 0.5000], [0.0000, 0.5000, 0.0000], [0.5000, 0.0000, 0.0000], [0.5000, 0.5000, 0.5000], [0.2500, 0.2500, 0.2500], [0.2500, 0.7500, 0.7500], [0.7500, 0.2500, 0.7500], [0.7500, 0.7500, 0.2500]], "magmom_total_mub_per_fu": 0.0, "crystal_system": "cubic", "space_group": "F-43m (216)", "volume_a3_per_cell": 301.4}

b | {"formula": "NaGeIrPb", "functional": "GGA-PBE", "state": "optimized geometry", "lattice": [[6.8768, 0.0000, 0.0000], [0.0000, 6.8768, 0.0000], [0.0000, 0.0000, 6.8768]], "species": ["Na", "Na", "Na", "Na", "Ge", "Ge", "Ge", "Ge", "Ir", "Ir", "Ir", "Ir", "Pb", "Pb", "Pb", "Pb"], "fractional_positions": [[0.0000, 0.0000, 0.0000], [0.0000, 0.5000, 0.5000], [0.5000, 0.0000, 0.5000], [0.5000, 0.5000, 0.0000], [0.2500, 0.2500, 0.2500], [0.2500, 0.7500, 0.7500], [0.7500, 0.2500, 0.7500], [0.7500, 0.7500, 0.2500], [0.2500, 0.2500, 0.7500], [0.2500, 0.7500, 0.2500], [0.7500, 0.2500, 0.2500], [0.7500, 0.7500, 0.7500], [0.0000, 0.0000, 0.5000], [0.0000, 0.5000, 0.0000], [0.5000, 0.0000, 0.0000], [0.5000, 0.5000, 0.5000]], "magmom_total_mub_per_fu": 0.0, "crystal_system": "cubic", "space_group": "F-43m (216)", "volume_a3_per_cell": 325.2}

Q: Which of them is the most stable? A: a.

a | {"formula": "PaBW", "functional": "GGA-PBE", "state": "optimized geometry", "lattice": [[5.9335, 0.0000, 0.0000], [0.0000, 5.9335, 0.0000], [0.0000, 0.0000, 5.9335]], "species": ["Pa", "Pa", "Pa", "Pa", "B", "B", "B", "B", "W", "W", "W", "W"], "fractional_positions": [[0.0000, 0.0000, 0.0000], [0.0000, 0.5000, 0.5000], [0.5000, 0.0000, 0.5000], [0.5000, 0.5000, 0.0000], [0.2500, 0.2500, 0.2500], [0.2500, 0.7500, 0.7500], [0.7500, 0.2500, 0.7500], [0.7500, 0.7500, 0.2500], [0.0000, 0.0000, 0.5000], [0.0000, 0.5000, 0.0000], [0.5000, 0.0000, 0.0000], [0.5000, 0.5000, 0.5000]], "magmom_total_mub_per_fu": 0.0, "crystal_system": "cubic", "space_group": "F-43m (216)", "volume_a3_per_cell": 208.9}

b | {"formula": "PaBW", "functional": "GGA-PBE", "state": "optimized geometry", "lattice": [[6.1596, 0.0000, 0.0000], [0.0000, 6.1596, 0.0000], [0.0000, 0.0000, 6.1596]], "species": ["Pa", "Pa", "Pa", "Pa", "B", "B", "B", "B", "W", "W", "W", "W"], "fractional_positions": [[0.0000, 0.0000, 0.0000], [0.0000, 0.5000, 0.5000], [0.5000, 0.0000, 0.5000], [0.5000, 0.5000, 0.0000], [0.2500, 0.2500, 0.7500], [0.2500, 0.7500, 0.2500], [0.7500, 0.2500, 0.2500], [0.7500, 0.7500, 0.7500], [0.2500, 0.2500, 0.2500], [0.2500, 0.7500, 0.7500], [0.7500, 0.2500, 0.7500], [0.7500, 0.7500, 0.2500]], "magmom_total_mub_per_fu": 0.0, "crystal_system": "cubic", "space_group": "F-43m (216)", "volume_a3_per_cell": 233.7}

Q: Which of them is the most stable? A: a.